No. 1
Computed, not measured: an optimized crystal structure of MgNbInCl2 at the PBEsol level of DFT.

Lattice parameters (Å, degrees): 5.1266 5.1266 5.7727 90.00 90.00 90.00
With the nearest neighbours (Å) after each atom.
Fractional positions:
Nb 0.0000 0.0000 0.5000  2 In 2.89
Cl 0.0000 0.5000 0.0000  2 In 2.56
Cl 0.5000 0.0000 0.0000  2 In 2.56
Mg 0.5000 0.5000 0.5000  4 Nb 3.63, 8 Cl 3.86
In 0.0000 0.0000 0.0000  4 Cl 2.56

Results
M_tot (μB/f.u.): 3.697
Energy relative to the elements, uncorrected (eV per atom): 0.632
SG: P4/mmm (123)
Theoretical density (g cm⁻³): 3.32

No. 2
Computed, not measured: an optimized crystal structure of AlIr2Pb at the PBEsol level of DFT.

Lattice parameters (Å, degrees): 3.8426 3.8426 5.1569 111.87 111.87 90.00
With the nearest neighbours (Å) after each atom.
Fractional positions:
Pb 0.5000 0.5000 0.0000  8 Ir 2.72-2.91, 4 Al 2.91
Ir 0.0000 0.0000 0.0000  4 Pb 2.72, 4 Ir 2.91, 4 Al 2.91
Ir 0.7500 0.2500 0.5000  4 Al 2.72, 4 Pb 2.91, 4 Ir 2.91
Al 0.2500 0.7500 0.5000  8 Ir 2.72-2.91, 4 Pb 2.91

Results
M_tot (μB/f.u.): 0.000
ΔE_f (meV per atom): 170
SG: I-4m2 (119)
Theoretical density (g cm⁻³): 15.87

No. 3
Computed, not measured: an optimized crystal structure of BaGe2Pd at the PBEsol level of DFT.

Lattice parameters (Å, degrees): 4.2375 6.3533 6.9572 90.00 90.00 90.00
With the nearest neighbours (Å) after each atom.
Fractional positions:
Ge 0.0000 0.6464 0.2981  3 Pd 2.56-2.57, 1 Ge 2.81
Ge 0.5000 0.3536 0.2019  3 Pd 2.56-2.57, 1 Ge 2.81
Ge 0.5000 0.3536 0.7981  3 Pd 2.56-2.57, 1 Ge 2.81
Ge 0.0000 0.6464 0.7019  3 Pd 2.56-2.57, 1 Ge 2.81
Ba 0.0000 0.1260 0.5000  8 Ge 3.30-3.59, 2 Pd 3.63
Ba 0.5000 0.8740 0.0000  8 Ge 3.30-3.59, 2 Pd 3.63
Pd 0.5000 0.5904 0.5000  6 Ge 2.56-2.57
Pd 0.0000 0.4096 0.0000  6 Ge 2.56-2.57

Results
M_tot (μB/f.u.): 0.000
ΔE_f (meV per atom): -661
SG: Pmmn (59)
Theoretical density (g cm⁻³): 6.90

No. 4
Computed, not measured: an optimized crystal structure of HfBeP2 at the PBEsol level of DFT.

Lattice parameters (Å, degrees): 5.4867 5.4867 6.5232 114.87 114.87 90.00
With the nearest neighbours (Å) after each atom.
Fractional positions:
P 0.8303 0.3750 0.2500  2 Be 2.21
P 0.4197 0.8750 0.2500  2 Be 2.21
P 0.6250 0.5803 0.7500  2 Be 2.21
P 0.1250 0.1697 0.7500  2 Be 2.21
Hf 0.2500 0.7500 0.5000  4 P 2.49
Hf 0.0000 0.0000 0.0000  4 P 2.49
Be 0.7500 0.2500 0.5000  4 P 2.21
Be 0.5000 0.5000 0.0000  4 P 2.21

Results
M_tot (μB/f.u.): 0.000
ΔE_f (meV per atom): -328
SG: I-42d (122)
Theoretical density (g cm⁻³): 5.25

No. 5
Computed, not measured: an optimized crystal structure of CrAu2Cl at the PBEsol level of DFT.

Lattice parameters (Å, degrees): 4.6261 4.6261 4.6261 60.00 60.00 60.00
With the nearest neighbours (Å) after each atom.
Fractional positions:
Cr 0.5000 0.5000 0.5000  8 Au 2.83
Au 0.2500 0.2500 0.2500  4 Cr 2.83, 4 Cl 2.83
Au 0.7500 0.7500 0.7500  4 Cr 2.83, 4 Cl 2.83
Cl 0.0000 0.0000 0.0000  8 Au 2.83

Results
M_tot (μB/f.u.): 4.276
Energy relative to the elements, uncorrected (eV per atom): 0.542
SG: Fm-3m (225)
Theoretical density (g cm⁻³): 11.42

No. 6
Computed, not measured: an optimized crystal structure of ScPtPb2 at the PBEsol level of DFT.

Lattice parameters (Å, degrees): 3.6275 3.6275 6.8097 90.00 90.00 100.94
With the nearest neighbours (Å) after each atom.
Fractional positions:
Pb 0.0000 0.0000 0.2701  2 Pt 2.79, 2 Sc 2.95
Pb 0.0000 0.0000 0.7299  2 Pt 2.79, 2 Sc 2.95
Pt 0.5000 0.5000 0.5000  4 Pb 2.79
Sc 0.5000 0.5000 0.0000  4 Pb 2.95

Results
M_tot (μB/f.u.): 0.000
ΔE_f (meV per atom): -160
SG: Cmmm (65)
Theoretical density (g cm⁻³): 12.35

No. 7
Computed, not measured: an optimized crystal structure of LaBe2Mo at the PBEsol level of DFT.

Lattice parameters (Å, degrees): 3.5950 4.7848 4.7848 59.36 67.93 67.93
With the nearest neighbours (Å) after each atom.
Fractional positions:
Be 0.9624 0.0376 0.0376  2 Be 2.09
Be 0.3197 0.1803 0.1803  2 Be 2.09
Mo 0.6910 0.8090 0.8090  2 Be 2.48, 2 La 2.67
La 0.5269 0.4731 0.4731  2 Mo 2.67, 4 Be 2.83-2.84

Results
M_tot (μB/f.u.): 0.001
ΔE_f (meV per atom): 558
SG: Imm2 (44)
Theoretical density (g cm⁻³): 6.58

No. 8
Computed, not measured: an optimized crystal structure of La2Al3Ge4 at the PBEsol level of DFT.

Lattice parameters (Å, degrees): 6.0853 7.9369 8.1173 90.00 112.01 90.00
With the nearest neighbours (Å) after each atom.
Fractional positions:
Ge 0.7012 0.7500 0.9023  3 Al 2.52-2.61
Ge 0.2012 0.7500 0.9023  3 Al 2.52-2.61
Ge 0.2988 0.2500 0.0977  3 Al 2.52-2.61
Ge 0.6858 0.5494 0.3716  5 Al 2.65-2.86
Ge 0.7988 0.2500 0.0977  3 Al 2.52-2.61
Ge 0.8142 0.0494 0.6284  5 Al 2.65-2.86
Ge 0.1858 0.9506 0.3716  5 Al 2.65-2.86
Ge 0.3142 0.4506 0.6284  5 Al 2.65-2.86
Al 0.0337 0.7500 0.5674  3 Ge 2.52-2.65
Al 0.0000 0.0000 0.0000  6 Ge 2.61-2.82
Al 0.5337 0.7500 0.5674  3 Ge 2.52-2.65
Al 0.5000 0.5000 0.0000  6 Ge 2.61-2.82
Al 0.9663 0.2500 0.4326  3 Ge 2.52-2.65
Al 0.4663 0.2500 0.4326  3 Ge 2.52-2.65
La 0.1136 0.5834 0.2271  8 Ge 3.11-3.24, 4 Al 3.26-3.42
La 0.3864 0.0834 0.7729  8 Ge 3.11-3.24, 4 Al 3.26-3.42
La 0.6136 0.9166 0.2271  8 Ge 3.11-3.24, 4 Al 3.26-3.42
La 0.8864 0.4166 0.7729  8 Ge 3.11-3.24, 4 Al 3.26-3.42

Results
M_tot (μB/f.u.): 0.000
ΔE_f (meV per atom): -555
SG: Cmce (64)
Theoretical density (g cm⁻³): 5.93

No. 9
Computed, not measured: an optimized crystal structure of YIF2 at the PBEsol level of DFT.

Lattice parameters (Å, degrees): 3.5037 3.5037 10.0484 79.96 79.96 60.00
With the nearest neighbours (Å) after each atom.
Fractional positions:
I 0.5000 0.5000 0.5000  6 I 3.50, 6 F 3.55
Y 0.0000 0.0000 0.0000  2 F 2.00
F 0.9323 0.9323 0.2031  1 Y 2.00
F 0.0677 0.0677 0.7969  1 Y 2.00

Results
M_tot (μB/f.u.): 0.000
Energy relative to the elements, uncorrected (eV per atom): -1.669
SG: R-3m (166)
Theoretical density (g cm⁻³): 4.03

No. 10
Computed, not measured: an optimized crystal structure of Li3Ag at the PBEsol level of DFT.

Lattice parameters (Å, degrees): 4.5960 5.7150 5.7150 119.96 90.00 90.00
With the nearest neighbours (Å) after each atom.
Fractional positions:
Ag 0.7500 0.6666 0.3334  12 Li 2.80-2.86
Ag 0.2500 0.3334 0.6666  12 Li 2.80-2.86
Li 0.7500 0.1725 0.8275  8 Li 2.76-2.96, 4 Ag 2.80-2.86
Li 0.2500 0.8275 0.1725  8 Li 2.76-2.96, 4 Ag 2.80-2.86
Li 0.7500 0.6551 0.8275  8 Li 2.76-2.96, 4 Ag 2.80-2.86
Li 0.2500 0.3449 0.1725  8 Li 2.76-2.96, 4 Ag 2.80-2.86
Li 0.2500 0.8275 0.6551  8 Li 2.76-2.96, 4 Ag 2.80-2.86
Li 0.7500 0.1725 0.3449  8 Li 2.76-2.96, 4 Ag 2.80-2.86

Results
M_tot (μB/f.u.): 0.000
ΔE_f (meV per atom): -120
SG: P6_3/mmc (194)
Theoretical density (g cm⁻³): 3.29

No. 11
Computed, not measured: an optimized crystal structure of BaCd2In at the PBEsol level of DFT.

Lattice parameters (Å, degrees): 4.8422 4.8422 6.6002 68.48 68.48 60.00
With the nearest neighbours (Å) after each atom.
Fractional positions:
In 0.5363 0.5363 0.3911  6 Cd 2.96-3.20
Ba 0.7496 0.7496 0.7512  4 In 3.53-3.83, 4 Cd 3.60-3.72
Cd 0.9569 0.9569 0.1293  3 Cd 2.85
Cd 0.2580 0.2580 0.2260  3 Cd 2.85, 3 In 2.96

Results
M_tot (μB/f.u.): 0.000
ΔE_f (meV per atom): -263
SG: R3m (160)
Theoretical density (g cm⁻³): 6.52

No. 12
Computed, not measured: an optimized crystal structure of ZnTcRh2 at the PBEsol level of DFT.

Lattice parameters (Å, degrees): 2.7317 2.7317 7.1750 90.00 90.00 90.00
With the nearest neighbours (Å) after each atom.
Fractional positions:
Zn 0.5000 0.5000 0.5000  8 Rh 2.64, 4 Zn 2.73
Rh 0.0000 0.0000 0.7501  4 Tc 2.64, 4 Zn 2.64, 4 Rh 2.73
Rh 0.0000 0.0000 0.2500  4 Zn 2.64, 4 Tc 2.64, 4 Rh 2.73
Tc 0.5000 0.5000 0.0000  8 Rh 2.64, 4 Tc 2.73

Results
M_tot (μB/f.u.): 0.000
ΔE_f (meV per atom): -268
SG: P4/mmm (123)
Theoretical density (g cm⁻³): 11.45

No. 13
Computed, not measured: an optimized crystal structure of KCaPb2 at the PBEsol level of DFT.

Lattice parameters (Å, degrees): 3.8548 5.5073 5.8867 90.00 90.04 90.00
With the nearest neighbours (Å) after each atom.
Fractional positions:
Ca 0.3755 0.0000 0.4133  8 Pb 3.34-3.70, 2 K 3.66
K 0.3746 0.5000 0.8221  8 Pb 3.44-3.56, 2 Ca 3.66, 2 K 3.85
Pb 0.8749 0.0000 0.9499  4 Ca 3.34-3.70, 4 K 3.44, 2 Pb 3.49
Pb 0.8751 0.5000 0.3147  4 Ca 3.41, 4 K 3.48-3.56, 2 Pb 3.49

Results
M_tot (μB/f.u.): 0.000
ΔE_f (meV per atom): -262
SG: Pmm2 (25)
Theoretical density (g cm⁻³): 6.56

No. 14
Computed, not measured: an optimized crystal structure of Ir2PbAu at the PBEsol level of DFT.

Lattice parameters (Å, degrees): 3.8563 4.1603 4.1603 90.00 90.00 90.00
With the nearest neighbours (Å) after each atom.
Fractional positions:
Au 0.5000 0.0000 0.0000  8 Ir 2.84, 4 Pb 2.94
Ir 0.0000 0.0000 0.5000  4 Pb 2.84, 4 Au 2.84, 4 Ir 2.94
Ir 0.0000 0.5000 0.0000  4 Pb 2.84, 4 Au 2.84, 4 Ir 2.94
Pb 0.5000 0.5000 0.5000  8 Ir 2.84, 4 Au 2.94

Results
M_tot (μB/f.u.): 0.000
ΔE_f (meV per atom): 461
SG: P4/mmm (123)
Theoretical density (g cm⁻³): 19.62

No. 15
Computed, not measured: an optimized crystal structure of LiGa2Pt2 at the PBEsol level of DFT.

Lattice parameters (Å, degrees): 2.7886 7.4186 7.4186 90.00 90.00 90.00
With the nearest neighbours (Å) after each atom.
Fractional positions:
Ga 0.5000 0.1538 0.6538  6 Pt 2.53-2.62, 2 Ga 2.79
Ga 0.5000 0.6538 0.8462  6 Pt 2.53-2.62, 2 Ga 2.79
Ga 0.5000 0.8462 0.3462  6 Pt 2.53-2.62, 2 Ga 2.79
Ga 0.5000 0.3462 0.1538  6 Pt 2.53-2.62, 2 Ga 2.79
Pt 0.0000 0.3547 0.8547  6 Ga 2.53-2.62, 2 Pt 2.79
Pt 0.0000 0.8547 0.6453  6 Ga 2.53-2.62, 2 Pt 2.79
Pt 0.0000 0.6453 0.1453  6 Ga 2.53-2.62, 2 Pt 2.79
Pt 0.0000 0.1453 0.3547  6 Ga 2.53-2.62, 2 Pt 2.79
Li 0.0000 0.0000 0.0000  2 Li 2.79, 4 Pt 2.84
Li 0.0000 0.5000 0.5000  2 Li 2.79, 4 Pt 2.84

Results
M_tot (μB/f.u.): 0.000
ΔE_f (meV per atom): -684
SG: P4/mbm (127)
Theoretical density (g cm⁻³): 11.61

No. 16
Computed, not measured: an optimized crystal structure of Sr8CaCu4Re3O24 at the PBEsol level of DFT.

Lattice parameters (Å, degrees): 7.9575 7.9575 7.9575 90.00 90.00 90.00
With the nearest neighbours (Å) after each atom.
Fractional positions:
Sr 0.7303 0.2697 0.2697  9 O 2.60-2.83
Sr 0.2697 0.2697 0.7303  9 O 2.60-2.83
Sr 0.2697 0.2697 0.2697  9 O 2.60-2.83
Sr 0.7303 0.7303 0.7303  9 O 2.60-2.83
Sr 0.2697 0.7303 0.7303  9 O 2.60-2.83
Sr 0.7303 0.2697 0.7303  9 O 2.60-2.83
Sr 0.2697 0.7303 0.2697  9 O 2.60-2.83
Sr 0.7303 0.7303 0.2697  9 O 2.60-2.83
Ca 0.0000 0.0000 0.0000  6 O 2.14
Cu 0.5000 0.5000 0.5000  6 O 2.02
Cu 0.0000 0.5000 0.5000  6 O 1.96-2.08
Cu 0.5000 0.5000 0.0000  6 O 1.96-2.08
Cu 0.5000 0.0000 0.5000  6 O 1.96-2.08
Re 0.5000 0.0000 0.0000  6 O 1.84-1.90
Re 0.0000 0.0000 0.5000  6 O 1.84-1.90
Re 0.0000 0.5000 0.0000  6 O 1.84-1.90
O 0.7615 0.0000 0.5000  1 Re 1.90, 1 Cu 2.08
O 0.7615 0.5000 0.0000  1 Re 1.90, 1 Cu 2.08
O 0.5000 0.0000 0.7615  1 Re 1.90, 1 Cu 2.08
O 0.0000 0.7615 0.5000  1 Re 1.90, 1 Cu 2.08
O 0.5000 0.0000 0.2385  1 Re 1.90, 1 Cu 2.08
O 0.0000 0.2385 0.5000  1 Re 1.90, 1 Cu 2.08
O 0.5000 0.7615 0.0000  1 Re 1.90, 1 Cu 2.08
O 0.5000 0.2385 0.0000  1 Re 1.90, 1 Cu 2.08
O 0.0000 0.5000 0.2385  1 Re 1.90, 1 Cu 2.08
O 0.0000 0.5000 0.7615  1 Re 1.90, 1 Cu 2.08
O 0.2385 0.0000 0.5000  1 Re 1.90, 1 Cu 2.08
O 0.2385 0.5000 0.0000  1 Re 1.90, 1 Cu 2.08
O 0.7533 0.5000 0.5000  2 Cu 1.96-2.02
O 0.5000 0.7533 0.5000  2 Cu 1.96-2.02
O 0.5000 0.2467 0.5000  2 Cu 1.96-2.02
O 0.5000 0.5000 0.2467  2 Cu 1.96-2.02
O 0.2688 0.0000 0.0000  1 Re 1.84
O 0.0000 0.0000 0.7312  1 Re 1.84
O 0.0000 0.0000 0.2688  1 Re 1.84
O 0.0000 0.2688 0.0000  1 Re 1.84
O 0.0000 0.7312 0.0000  1 Re 1.84
O 0.7312 0.0000 0.0000  1 Re 1.84
O 0.2467 0.5000 0.5000  2 Cu 1.96-2.02
O 0.5000 0.5000 0.7533  2 Cu 1.96-2.02

Results
M_tot (μB/f.u.): 0.127
Energy relative to the elements, uncorrected (eV per atom): -2.038
SG: Pm-3m (221)
Theoretical density (g cm⁻³): 6.39

No. 17
Computed, not measured: an optimized crystal structure of CuBP2S at the PBEsol level of DFT.

Lattice parameters (Å, degrees): 3.9370 3.9370 4.3375 90.00 90.00 90.00
With the nearest neighbours (Å) after each atom.
Fractional positions:
P 0.0000 0.5000 0.0000  2 B 1.97
P 0.5000 0.0000 0.0000  2 B 1.97
S 0.0000 0.0000 0.5000  2 B 2.17
B 0.0000 0.0000 0.0000  4 P 1.97, 2 S 2.17
Cu 0.5000 0.5000 0.5000  4 S 2.78, 8 P 2.93

Results
M_tot (μB/f.u.): 0.000
Energy relative to the elements, uncorrected (eV per atom): 0.846
SG: P4/mmm (123)
Theoretical density (g cm⁻³): 4.16

No. 18
Computed, not measured: an optimized crystal structure of CoMo2 at the PBEsol level of DFT.

Lattice parameters (Å, degrees): 3.1186 3.1186 4.8088 108.92 108.92 90.00
With the nearest neighbours (Å) after each atom.
Fractional positions:
Mo 0.3335 0.3335 0.6670  5 Co 2.62-2.85, 5 Mo 2.63-2.85
Mo 0.6665 0.6665 0.3330  5 Co 2.62-2.85, 5 Mo 2.63-2.85
Co 0.0000 0.0000 0.0000  10 Mo 2.62-2.85

Results
M_tot (μB/f.u.): 1.762
ΔE_f (meV per atom): 261
SG: I4/mmm (139)
Theoretical density (g cm⁻³): 10.02

No. 19
Computed, not measured: an optimized crystal structure of Mg2OsN3 at the PBEsol level of DFT.

Lattice parameters (Å, degrees): 5.1001 5.8506 5.8506 61.03 90.00 90.00
With the nearest neighbours (Å) after each atom.
Fractional positions:
Mg 0.9763 0.9852 0.3400  4 N 2.08-2.13
Mg 0.9763 0.6600 0.0148  4 N 2.08-2.13
Mg 0.4763 0.0148 0.6600  4 N 2.08-2.13
Mg 0.4763 0.3400 0.9852  4 N 2.08-2.13
Os 0.9911 0.3061 0.6939  4 N 1.86-1.95
Os 0.4911 0.6939 0.3061  4 N 1.86-1.95
N 0.3914 0.9910 0.3237  1 Os 1.86, 1 Mg 2.08
N 0.3914 0.6763 0.0090  1 Os 1.86, 1 Mg 2.08
N 0.8914 0.0090 0.6763  1 Os 1.86, 1 Mg 2.08
N 0.8914 0.3237 0.9910  1 Os 1.86, 1 Mg 2.08
N 0.3614 0.3845 0.6155  2 Os 1.94-1.95, 2 Mg 2.13
N 0.8614 0.6155 0.3845  2 Os 1.94-1.95, 2 Mg 2.13

Results
M_tot (μB/f.u.): 0.000
Energy relative to the elements, uncorrected (eV per atom): -0.299
SG: Cmc2_1 (36)
Theoretical density (g cm⁻³): 6.11

No. 20
Computed, not measured: an optimized crystal structure of Nb2Ni2Au at the PBEsol level of DFT.

Lattice parameters (Å, degrees): 3.2322 6.7251 6.7251 90.00 90.00 90.00
With the nearest neighbours (Å) after each atom.
Fractional positions:
Ni 0.0000 0.3745 0.8745  1 Ni 2.39, 6 Nb 2.51-2.60, 2 Au 2.66
Ni 0.0000 0.8745 0.6255  1 Ni 2.39, 6 Nb 2.51-2.60, 2 Au 2.66
Ni 0.0000 0.6255 0.1255  1 Ni 2.39, 6 Nb 2.51-2.60, 2 Au 2.66
Ni 0.0000 0.1255 0.3745  1 Ni 2.39, 6 Nb 2.51-2.60, 2 Au 2.66
Nb 0.5000 0.1729 0.6729  6 Ni 2.51-2.60
Nb 0.5000 0.6729 0.8271  6 Ni 2.51-2.60
Nb 0.5000 0.8271 0.3271  6 Ni 2.51-2.60
Nb 0.5000 0.3271 0.1729  6 Ni 2.51-2.60
Au 0.0000 0.0000 0.0000  4 Ni 2.66, 8 Nb 2.97
Au 0.0000 0.5000 0.5000  4 Ni 2.66, 8 Nb 2.97

Results
M_tot (μB/f.u.): 0.000
ΔE_f (meV per atom): -191
SG: P4/mbm (127)
Theoretical density (g cm⁻³): 11.36